Entry 1:
Crystalline NaCdBiPt at its relaxed geometry, computed with PBE-GGA.

abc: 7.0599 7.0599 7.0599
angles: 90.00 90.00 90.00
Space group F-43m (No. 216)
Inequivalent atoms, fractional coordinates:
Na 0.0000 0.0000 0.0000 (multiplicity 4)
Cd 0.2500 0.2500 0.7500 (multiplicity 4)
Bi 0.0000 0.0000 0.5000 (multiplicity 4)
Pt 0.2500 0.2500 0.2500 (multiplicity 4)

Output
energy = -3.1566 eV per atom
crystal system = cubic
total moment = 0.00 μB/f.u.
offset from the most stable computed form = 118 meV per atom


Entry 2:
Crystalline Na2Cd2BiSb at its relaxed geometry, computed with PBE-GGA.

abc: 4.6760 4.6760 7.7142
angles: 90.00 90.00 90.00
Space group P4mm (No. 99)
Inequivalent atoms, fractional coordinates:
Na 0.0000 0.0000 0.0000 (multiplicity 1)
Na 0.5000 0.5000 0.3247 (multiplicity 1)
Cd 0.0000 0.5000 0.6539 (multiplicity 2)
Bi 0.5000 0.5000 0.9062 (multiplicity 1)
Sb 0.0000 0.0000 0.4124 (multiplicity 1)

Output
energy = -2.3856 eV per atom
crystal system = tetragonal


Entry 3:
Crystalline NbCdNiBi at its relaxed geometry, computed with PBE-GGA.

abc: 6.7386 6.7386 6.7386
angles: 90.00 90.00 90.00
Space group F-43m (No. 216)
Inequivalent atoms, fractional coordinates:
Nb 0.0000 0.0000 0.0000 (multiplicity 4)
Cd 0.2500 0.2500 0.7500 (multiplicity 4)
Ni 0.0000 0.0000 0.5000 (multiplicity 4)
Bi 0.2500 0.2500 0.2500 (multiplicity 4)

Output
energy = -4.6979 eV per atom
crystal system = cubic
total moment = 0.96 μB/f.u.


Entry 4:
Crystalline NbCd2BiO6 at its relaxed geometry, computed with PBE-GGA.

abc: 8.7714 11.8868 5.5757
angles: 90.00 90.00 90.00
Space group Cmc2_1 (No. 36)
Inequivalent atoms, fractional coordinates:
Nb 0.0000 0.1853 0.0000 (multiplicity 4)
Cd 0.1938 0.0995 0.5195 (multiplicity 8)
Bi 0.0000 0.4038 0.5460 (multiplicity 4)
O 0.0000 0.0379 0.8838 (multiplicity 4)
O 0.0000 0.1972 0.3431 (multiplicity 4)
O 0.1556 0.4875 0.2774 (multiplicity 8)
O 0.1668 0.2536 0.8544 (multiplicity 8)

Output
energy = -6.1570 eV per atom
crystal system = orthorhombic
total moment = 0.00 μB/f.u.